Compound: HfBe3As
Source: Alexandria via LeMat-Bulk
Functional: PBEsol
Structure: relaxed

Calculated values
Energy of formation from the pure elements (meV/atom): 1842

Cell and atoms, written as CIF:
```
data_HfBe3As
_space_group_name_H-M_alt 'P 1'
_space_group_IT_number 1
_cell_length_a 4.608
_cell_length_b 4.608
_cell_length_c 4.608
_cell_angle_alpha 90.00
_cell_angle_beta 90.00
_cell_angle_gamma 90.00
loop_
_space_group_symop_operation_xyz
'x,y,z'
loop_
_atom_site_label
_atom_site_type_symbol
_atom_site_fract_x
_atom_site_fract_y
_atom_site_fract_z
_atom_site_occupancy
Hf1 Hf 0.000 0.000 0.000 1
Be1 Be 0.000 0.000 0.500 1
Be2 Be 0.000 0.500 0.000 1
Be3 Be 0.500 0.000 0.000 1
As1 As 0.500 0.500 0.500 1
```

***

Compound: BeHgAs2
Source: Alexandria via LeMat-Bulk
Functional: PBEsol
Structure: relaxed

Calculated values
ΔE to the lowest computed polymorph (eV per atom): 0.135
Energy of formation from the pure elements (meV/atom): 296

Cell and atoms, written as CIF:
```
data_BeHgAs2
_space_group_name_H-M_alt 'P 1'
_space_group_IT_number 1
_cell_length_a 6.121
_cell_length_b 6.121
_cell_length_c 6.121
_cell_angle_alpha 152.59
_cell_angle_beta 138.32
_cell_angle_gamma 50.61
loop_
_space_group_symop_operation_xyz
'x,y,z'
loop_
_atom_site_label
_atom_site_type_symbol
_atom_site_fract_x
_atom_site_fract_y
_atom_site_fract_z
_atom_site_occupancy
Be1 Be 0.000 0.000 0.000 1
Hg1 Hg 0.500 0.500 0.000 1
As1 As 0.181 0.681 0.500 1
As2 As 0.819 0.319 0.500 1
```

***

Compound: BeHgAs2
Source: Alexandria via LeMat-Bulk
Functional: PBEsol
Structure: relaxed

Calculated values
ΔE to the lowest computed polymorph (eV per atom): 0.372
Energy of formation from the pure elements (meV/atom): 534

Cell and atoms, written as CIF:
```
data_BeHgAs2
_space_group_name_H-M_alt 'P 1'
_space_group_IT_number 1
_cell_length_a 5.788
_cell_length_b 5.788
_cell_length_c 5.788
_cell_angle_alpha 142.26
_cell_angle_beta 142.26
_cell_angle_gamma 54.43
loop_
_space_group_symop_operation_xyz
'x,y,z'
loop_
_atom_site_label
_atom_site_type_symbol
_atom_site_fract_x
_atom_site_fract_y
_atom_site_fract_z
_atom_site_occupancy
Be1 Be 0.000 0.000 0.000 1
Hg1 Hg 0.500 0.500 0.000 1
As1 As 0.250 0.750 0.500 1
As2 As 0.750 0.250 0.500 1
```

***

Compound: BeHgAs2
Source: Alexandria via LeMat-Bulk
Functional: PBEsol
Structure: relaxed

Calculated values
ΔE to the lowest computed polymorph (eV per atom): 0.089
Energy of formation from the pure elements (meV/atom): 250

Cell and atoms, written as CIF:
```
data_BeHgAs2
_space_group_name_H-M_alt 'P 1'
_space_group_IT_number 1
_cell_length_a 10.135
_cell_length_b 10.135
_cell_length_c 10.135
_cell_angle_alpha 16.54
_cell_angle_beta 16.54
_cell_angle_gamma 16.54
loop_
_space_group_symop_operation_xyz
'x,y,z'
loop_
_atom_site_label
_atom_site_type_symbol
_atom_site_fract_x
_atom_site_fract_y
_atom_site_fract_z
_atom_site_occupancy
Be1 Be 0.000 0.000 0.000 1
Hg1 Hg 0.500 0.500 0.500 1
As1 As 0.273 0.273 0.273 1
As2 As 0.727 0.727 0.727 1
```

***

Compound: BeHgAs2
Source: Alexandria via LeMat-Bulk
Functional: PBEsol
Structure: relaxed

Calculated values
ΔE to the lowest computed polymorph (eV per atom): 0.000
Energy of formation from the pure elements (meV/atom): 161

Cell and atoms, written as CIF:
```
data_BeHgAs2
_space_group_name_H-M_alt 'P 1'
_space_group_IT_number 1
_cell_length_a 4.088
_cell_length_b 4.088
_cell_length_c 6.133
_cell_angle_alpha 106.94
_cell_angle_beta 106.94
_cell_angle_gamma 53.58
loop_
_space_group_symop_operation_xyz
'x,y,z'
loop_
_atom_site_label
_atom_site_type_symbol
_atom_site_fract_x
_atom_site_fract_y
_atom_site_fract_z
_atom_site_occupancy
Be1 Be 0.000 0.000 0.000 1
Hg1 Hg 0.500 0.500 0.500 1
As1 As 0.336 0.336 0.817 1
As2 As 0.664 0.664 0.183 1
```

***

Compound: Be2AsI
Source: Alexandria via LeMat-Bulk
Functional: PBEsol
Structure: relaxed

Calculated values
Formation energy without anion corrections (meV/atom): -158

Cell and atoms, written as CIF:
```
data_Be2AsI
_space_group_name_H-M_alt 'P 1'
_space_group_IT_number 1
_cell_length_a 6.682
_cell_length_b 6.682
_cell_length_c 6.682
_cell_angle_alpha 131.74
_cell_angle_beta 131.74
_cell_angle_gamma 70.64
loop_
_space_group_symop_operation_xyz
'x,y,z'
loop_
_atom_site_label
_atom_site_type_symbol
_atom_site_fract_x
_atom_site_fract_y
_atom_site_fract_z
_atom_site_occupancy
Be1 Be 0.064 0.625 0.939 1
Be2 Be 0.375 0.314 0.439 1
Be3 Be 0.686 0.125 0.061 1
Be4 Be 0.875 0.936 0.561 1
As1 As 0.000 0.000 0.000 1
As2 As 0.750 0.250 0.500 1
I1 I 0.250 0.750 0.500 1
I2 I 0.500 0.500 0.000 1
```

***

Compound: BeAsI2
Source: Alexandria via LeMat-Bulk
Functional: PBEsol
Structure: relaxed

Calculated values
Formation energy without anion corrections (meV/atom): 804

Cell and atoms, written as CIF:
```
data_BeAsI2
_space_group_name_H-M_alt 'P 1'
_space_group_IT_number 1
_cell_length_a 5.047
_cell_length_b 5.047
_cell_length_c 5.047
_cell_angle_alpha 60.00
_cell_angle_beta 60.00
_cell_angle_gamma 60.00
loop_
_space_group_symop_operation_xyz
'x,y,z'
loop_
_atom_site_label
_atom_site_type_symbol
_atom_site_fract_x
_atom_site_fract_y
_atom_site_fract_z
_atom_site_occupancy
Be1 Be 0.000 0.000 0.000 1
As1 As 0.500 0.500 0.500 1
I1 I 0.250 0.250 0.250 1
I2 I 0.750 0.750 0.750 1
```

***

Compound: BeIn2As
Source: Alexandria via LeMat-Bulk
Functional: PBEsol
Structure: relaxed

Calculated values
Energy of formation from the pure elements (meV/atom): 295

Cell and atoms, written as CIF:
```
data_BeIn2As
_space_group_name_H-M_alt 'P 1'
_space_group_IT_number 1
_cell_length_a 2.836
_cell_length_b 3.481
_cell_length_c 7.821
_cell_angle_alpha 90.00
_cell_angle_beta 90.00
_cell_angle_gamma 90.00
loop_
_space_group_symop_operation_xyz
'x,y,z'
loop_
_atom_site_label
_atom_site_type_symbol
_atom_site_fract_x
_atom_site_fract_y
_atom_site_fract_z
_atom_site_occupancy
Be1 Be 0.000 0.000 0.000 1
In1 In 0.500 0.500 0.213 1
In2 In 0.500 0.500 0.787 1
As1 As 0.500 0.000 0.500 1
```

***

Compound: Be2InAs2
Source: Alexandria via LeMat-Bulk
Functional: PBEsol
Structure: relaxed

Calculated values
Energy of formation from the pure elements (meV/atom): -27

Cell and atoms, written as CIF:
```
data_Be2InAs2
_space_group_name_H-M_alt 'P 1'
_space_group_IT_number 1
_cell_length_a 7.293
_cell_length_b 7.293
_cell_length_c 7.293
_cell_angle_alpha 151.69
_cell_angle_beta 151.69
_cell_angle_gamma 40.47
loop_
_space_group_symop_operation_xyz
'x,y,z'
loop_
_atom_site_label
_atom_site_type_symbol
_atom_site_fract_x
_atom_site_fract_y
_atom_site_fract_z
_atom_site_occupancy
Be1 Be 0.250 0.750 0.500 1
Be2 Be 0.750 0.250 0.500 1
In1 In 0.000 0.000 0.000 1
As1 As 0.356 0.356 0.000 1
As2 As 0.644 0.644 0.000 1
```

***

Compound: Be2AsIr
Source: Alexandria via LeMat-Bulk
Functional: PBEsol
Structure: relaxed

Calculated values
Energy of formation from the pure elements (meV/atom): -48

Cell and atoms, written as CIF:
```
data_Be2AsIr
_space_group_name_H-M_alt 'P 1'
_space_group_IT_number 1
_cell_length_a 4.025
_cell_length_b 4.025
_cell_length_c 2.875
_cell_angle_alpha 90.00
_cell_angle_beta 90.00
_cell_angle_gamma 90.00
loop_
_space_group_symop_operation_xyz
'x,y,z'
loop_
_atom_site_label
_atom_site_type_symbol
_atom_site_fract_x
_atom_site_fract_y
_atom_site_fract_z
_atom_site_occupancy
Be1 Be 0.000 0.500 0.000 1
Be2 Be 0.500 0.000 0.000 1
As1 As 0.000 0.000 0.500 1
Ir1 Ir 0.500 0.500 0.500 1
```

***

Compound: BeAsIr
Source: Alexandria via LeMat-Bulk
Functional: PBEsol
Structure: relaxed

Calculated values
Energy of formation from the pure elements (meV/atom): -62

Cell and atoms, written as CIF:
```
data_BeAsIr
_space_group_name_H-M_alt 'P 1'
_space_group_IT_number 1
_cell_length_a 4.319
_cell_length_b 4.319
_cell_length_c 4.319
_cell_angle_alpha 135.60
_cell_angle_beta 135.60
_cell_angle_gamma 64.60
loop_
_space_group_symop_operation_xyz
'x,y,z'
loop_
_atom_site_label
_atom_site_type_symbol
_atom_site_fract_x
_atom_site_fract_y
_atom_site_fract_z
_atom_site_occupancy
Be1 Be 0.000 0.000 0.000 1
As1 As 0.681 0.681 0.000 1
Ir1 Ir 0.341 0.341 0.000 1
```

***

Compound: Be2AsIr
Source: Alexandria via LeMat-Bulk
Functional: PBEsol
Structure: relaxed

Calculated values
Energy of formation from the pure elements (meV/atom): 374

Cell and atoms, written as CIF:
```
data_Be2AsIr
_space_group_name_H-M_alt 'P 1'
_space_group_IT_number 1
_cell_length_a 5.139
_cell_length_b 5.139
_cell_length_c 5.139
_cell_angle_alpha 105.42
_cell_angle_beta 105.42
_cell_angle_gamma 117.92
loop_
_space_group_symop_operation_xyz
'x,y,z'
loop_
_atom_site_label
_atom_site_type_symbol
_atom_site_fract_x
_atom_site_fract_y
_atom_site_fract_z
_atom_site_occupancy
Be1 Be 0.124 0.625 0.999 1
Be2 Be 0.375 0.374 0.499 1
Be3 Be 0.626 0.125 0.001 1
Be4 Be 0.875 0.876 0.501 1
As1 As 0.000 0.000 0.000 1
As2 As 0.750 0.250 0.500 1
Ir1 Ir 0.250 0.750 0.500 1
Ir2 Ir 0.500 0.500 0.000 1
```

***

Number 1: calculated total energy -3.6800 eV per atom. Number 2: calculated total energy -3.3991 eV per atom. Number 3: calculated total energy -3.1612 eV per atom. Number 4: calculated total energy -3.4452 eV per atom. Number 5: calculated total energy -3.5337 eV per atom. Number 6: calculated total energy -3.8760 eV per atom. Number 7: calculated total energy -2.3556 eV per atom. Number 8: calculated total energy -3.4734 eV per atom. Number 9: calculated total energy -4.2661 eV per atom. Number 10: calculated total energy -5.7809 eV per atom. Number 11: calculated total energy -6.3721 eV per atom. Number 12: calculated total energy -5.3589 eV per atom.